Entry 1:
{
  "formula": "ZnTeSN2",
  "functional": "meta-GGA SCAN",
  "state": "single point on PBEsol structure",
  "lattice": [[3.913, 0.000, 0.000], [0.000, 3.913, 0.000], [0.000, 0.000, 4.696]],
  "species": ["Zn", "Te", "S", "N", "N"],
  "fractional_positions": [[0.000, 0.000, 0.000], [0.500, 0.500, 0.500], [0.000, 0.000, 0.500], [0.000, 0.500, 0.000], [0.500, 0.000, 0.000]],
  "total_energy_ev_per_cell": -71.91,
  "polymorph_energy_ev_per_atom": 0.000,
  "sg": "P4/mmm, No. 123",
  "raw_formation_energy_ev_per_atom": 1.414
}

---

Entry 2:
{
  "formula": "As2IrSe",
  "functional": "meta-GGA SCAN",
  "state": "single point on PBEsol structure",
  "lattice": [[3.532, 0.000, 0.000], [-1.766, 3.059, 0.000], [0.000, 0.000, 21.277]],
  "species": ["As", "As", "As", "As", "As", "As", "Ir", "Ir", "Ir", "Se", "Se", "Se"],
  "fractional_positions": [[0.000, 0.000, 0.000], [0.000, 0.000, 0.261], [0.333, 0.667, 0.667], [0.333, 0.667, 0.928], [0.667, 0.333, 0.333], [0.667, 0.333, 0.594], [0.000, 0.000, 0.752], [0.333, 0.667, 0.419], [0.667, 0.333, 0.085], [0.000, 0.000, 0.478], [0.333, 0.667, 0.144], [0.667, 0.333, 0.811]],
  "total_energy_ev_per_cell": -393.37,
  "sg": "R3m, No. 160",
  "raw_formation_energy_ev_per_atom": 0.109
}

---

Entry 3:
{
  "formula": "CsBi3S5",
  "functional": "meta-GGA SCAN",
  "state": "single point on PBEsol structure",
  "lattice": [[12.072, 0.000, 0.000], [0.000, 4.052, 0.000], [0.000, 0.000, 21.036]],
  "species": ["Cs", "Cs", "Cs", "Cs", "Bi", "Bi", "Bi", "Bi", "Bi", "Bi", "Bi", "Bi", "Bi", "Bi", "Bi", "Bi", "S", "S", "S", "S", "S", "S", "S", "S", "S", "S", "S", "S", "S", "S", "S", "S", "S", "S", "S", "S"],
  "fractional_positions": [[0.004, 0.250, 0.112], [0.496, 0.750, 0.612], [0.504, 0.250, 0.388], [0.996, 0.750, 0.888], [0.129, 0.250, 0.646], [0.148, 0.250, 0.308], [0.163, 0.750, 0.475], [0.337, 0.250, 0.975], [0.352, 0.750, 0.808], [0.371, 0.750, 0.146], [0.629, 0.250, 0.854], [0.648, 0.250, 0.192], [0.663, 0.750, 0.025], [0.837, 0.250, 0.525], [0.852, 0.750, 0.692], [0.871, 0.750, 0.354], [0.010, 0.250, 0.419], [0.015, 0.750, 0.258], [0.220, 0.750, 0.030], [0.224, 0.250, 0.868], [0.248, 0.250, 0.191], [0.252, 0.750, 0.691], [0.276, 0.750, 0.368], [0.280, 0.250, 0.530], [0.485, 0.250, 0.758], [0.490, 0.750, 0.919], [0.510, 0.250, 0.081], [0.515, 0.750, 0.242], [0.720, 0.750, 0.470], [0.724, 0.250, 0.632], [0.748, 0.250, 0.309], [0.752, 0.750, 0.809], [0.776, 0.750, 0.132], [0.780, 0.250, 0.970], [0.985, 0.250, 0.742], [0.990, 0.750, 0.581]],
  "total_energy_ev_per_cell": -1307.26,
  "sg": "Pnma, No. 62",
  "raw_formation_energy_ev_per_atom": -0.569
}

---

Entry 4:
{
  "formula": "LaAgAuN2",
  "functional": "meta-GGA SCAN",
  "state": "single point on PBEsol structure",
  "lattice": [[4.137, 0.000, 0.000], [0.000, 4.137, 0.000], [0.000, 0.000, 5.626]],
  "species": ["La", "Ag", "Au", "N", "N"],
  "fractional_positions": [[0.000, 0.000, 0.000], [0.000, 0.000, 0.500], [0.500, 0.500, 0.000], [0.000, 0.500, 0.500], [0.500, 0.000, 0.500]],
  "total_energy_ev_per_cell": -156.55,
  "sg": "P4/mmm, No. 123",
  "raw_formation_energy_ev_per_atom": 1.132
}

---

Entry 5:
{
  "formula": "Mn2BeO4",
  "functional": "meta-GGA SCAN",
  "state": "single point on PBEsol structure",
  "lattice": [[10.016, 0.000, 0.000], [0.000, 5.647, 0.000], [0.000, 0.000, 4.565]],
  "species": ["Mn", "Mn", "Mn", "Mn", "Mn", "Mn", "Mn", "Mn", "Be", "Be", "Be", "Be", "O", "O", "O", "O", "O", "O", "O", "O", "O", "O", "O", "O", "O", "O", "O", "O"],
  "fractional_positions": [[0.000, 0.000, 0.000], [0.000, 0.500, 0.000], [0.226, 0.250, 0.488], [0.274, 0.750, 0.988], [0.500, 0.000, 0.500], [0.500, 0.500, 0.500], [0.726, 0.250, 0.012], [0.774, 0.750, 0.512], [0.087, 0.750, 0.421], [0.413, 0.250, 0.921], [0.587, 0.750, 0.079], [0.913, 0.250, 0.579], [0.063, 0.250, 0.746], [0.081, 0.750, 0.769], [0.156, 0.522, 0.249], [0.156, 0.978, 0.249], [0.344, 0.022, 0.749], [0.344, 0.478, 0.749], [0.419, 0.250, 0.269], [0.437, 0.750, 0.246], [0.563, 0.250, 0.754], [0.581, 0.750, 0.731], [0.656, 0.522, 0.251], [0.656, 0.978, 0.251], [0.844, 0.022, 0.751], [0.844, 0.478, 0.751], [0.919, 0.250, 0.231], [0.937, 0.750, 0.254]],
  "total_energy_ev_per_cell": -329.45,
  "sg": "Pnma, No. 62",
  "raw_formation_energy_ev_per_atom": -2.368
}

---

Entry 6:
{
  "formula": "MgTe2W",
  "functional": "meta-GGA SCAN",
  "state": "single point on PBEsol structure",
  "lattice": [[3.517, 0.000, 0.000], [0.000, 5.429, 0.000], [0.000, 0.000, 4.468]],
  "species": ["Mg", "Te", "Te", "W"],
  "fractional_positions": [[0.000, 0.000, 0.000], [0.000, 0.500, 0.195], [0.500, 0.000, 0.522], [0.500, 0.500, 0.696]],
  "total_energy_ev_per_cell": -147.50,
  "sg": "Pmm2, No. 25",
  "raw_formation_energy_ev_per_atom": 0.415
}

---

Entry 7:
{
  "formula": "SrRuBr3",
  "functional": "meta-GGA SCAN",
  "state": "single point on PBEsol structure",
  "lattice": [[5.015, 0.000, 0.000], [0.000, 5.015, 0.000], [0.000, 0.000, 5.015]],
  "species": ["Sr", "Ru", "Br", "Br", "Br"],
  "fractional_positions": [[0.000, 0.000, 0.000], [0.500, 0.500, 0.500], [0.000, 0.500, 0.500], [0.500, 0.000, 0.500], [0.500, 0.500, 0.000]],
  "total_energy_ev_per_cell": -119.59,
  "sg": "Pm-3m, No. 221",
  "raw_formation_energy_ev_per_atom": -0.822
}

---

Entry 8:
{
  "formula": "CdNiTeN2",
  "functional": "meta-GGA SCAN",
  "state": "single point on PBEsol structure",
  "lattice": [[3.872, 0.000, 0.000], [0.000, 3.872, 0.000], [0.000, 0.000, 5.280]],
  "species": ["Cd", "Ni", "Te", "N", "N"],
  "fractional_positions": [[0.000, 0.000, 0.000], [0.500, 0.500, 0.500], [0.500, 0.500, 0.000], [0.000, 0.500, 0.500], [0.500, 0.000, 0.500]],
  "total_energy_ev_per_cell": -97.29,
  "sg": "P4/mmm, No. 123",
  "raw_formation_energy_ev_per_atom": 1.025
}

---

Entry 9:
{
  "formula": "Sr2MnIr",
  "functional": "meta-GGA SCAN",
  "state": "single point on PBEsol structure",
  "lattice": [[6.861, 0.000, 0.000], [0.000, 6.873, 0.000], [0.000, 0.000, 4.068]],
  "species": ["Sr", "Sr", "Sr", "Sr", "Mn", "Mn", "Ir", "Ir"],
  "fractional_positions": [[0.250, 0.250, 0.000], [0.250, 0.750, 0.000], [0.750, 0.250, 0.000], [0.750, 0.750, 0.000], [0.000, 0.000, 0.500], [0.500, 0.500, 0.500], [0.000, 0.500, 0.500], [0.500, 0.000, 0.500]],
  "total_energy_ev_per_cell": -266.10,
  "polymorph_energy_ev_per_atom": 0.234,
  "sg": "Cmmm, No. 65"
}

---

Entry 10:
{
  "formula": "Y2AsRu",
  "functional": "meta-GGA SCAN",
  "state": "single point on PBEsol structure",
  "lattice": [[4.167, 0.000, 0.000], [-2.084, 3.609, 0.000], [0.000, 0.000, 20.057]],
  "species": ["Y", "Y", "Y", "Y", "Y", "Y", "As", "As", "As", "Ru", "Ru", "Ru"],
  "fractional_positions": [[0.000, 0.000, 0.000], [0.000, 0.000, 0.172], [0.333, 0.667, 0.667], [0.333, 0.667, 0.839], [0.667, 0.333, 0.333], [0.667, 0.333, 0.506], [0.000, 0.000, 0.428], [0.333, 0.667, 0.094], [0.667, 0.333, 0.761], [0.000, 0.000, 0.742], [0.333, 0.667, 0.409], [0.667, 0.333, 0.075]],
  "total_energy_ev_per_cell": -340.00,
  "sg": "R3m, No. 160"
}

---

Entry 11:
{
  "formula": "SrAlC2",
  "functional": "meta-GGA SCAN",
  "state": "single point on PBEsol structure",
  "lattice": [[5.991, 0.000, 0.000], [0.000, 5.991, 0.000], [0.000, 0.000, 5.991]],
  "species": ["Sr", "Sr", "Sr", "Sr", "Al", "Al", "Al", "Al", "C", "C", "C", "C", "C", "C", "C", "C"],
  "fractional_positions": [[0.000, 0.000, 0.000], [0.000, 0.500, 0.500], [0.500, 0.000, 0.500], [0.500, 0.500, 0.000], [0.000, 0.000, 0.500], [0.000, 0.500, 0.000], [0.500, 0.000, 0.000], [0.500, 0.500, 0.500], [0.250, 0.250, 0.250], [0.250, 0.250, 0.750], [0.250, 0.750, 0.250], [0.250, 0.750, 0.750], [0.750, 0.250, 0.250], [0.750, 0.250, 0.750], [0.750, 0.750, 0.250], [0.750, 0.750, 0.750]],
  "total_energy_ev_per_cell": -177.24,
  "sg": "Fm-3m, No. 225"
}